No. 1
VASP calculation (GGA-PBE) on a relaxed Bi4SeS5 crystal.

Summary:
Formation energy without anion corrections in eV per atom: -0.29
E_tot in eV/atom: -4.259
Total moment in Bohr magnetons per cell: 0.0

a b c (Å): 9.158 9.158 8.410
angles (deg): 102.22 102.22 25.84
Positions (direct):
Bi: 0.010 0.010 0.273
Bi: 0.322 0.322 0.898
Bi: 0.678 0.678 0.102
Bi: 0.990 0.990 0.727
Se: 0.500 0.500 0.000
S: 0.158 0.158 0.326
S: 0.166 0.166 0.865
S: 0.500 0.500 0.500
S: 0.834 0.834 0.135
S: 0.842 0.842 0.674


No. 2
VASP calculation (GGA-PBE) on a relaxed Bi2SeS crystal.

Summary:
Formation energy without anion corrections in eV per atom: -0.10
E_tot in eV/atom: -3.941
Energy above the most stable polymorph in this dataset in kJ/mol of atoms: 7.6
Total moment in Bohr magnetons per cell: 0.0

a b c (Å): 6.607 6.607 6.607
angles (deg): 107.25 107.25 114.02
Positions (direct):
Bi: 0.114 0.625 0.989
Bi: 0.375 0.364 0.489
Bi: 0.636 0.125 0.011
Bi: 0.875 0.886 0.511
Se: 0.250 0.750 0.500
Se: 0.500 0.500 0.000
S: 0.000 0.000 0.000
S: 0.750 0.250 0.500


No. 3
VASP calculation (GGA-PBE) on a relaxed Bi2SeS crystal.

Summary:
Formation energy without anion corrections in eV per atom: -0.14
E_tot in eV/atom: -3.982
Energy above the most stable polymorph in this dataset in kJ/mol of atoms: 3.7
Total moment in Bohr magnetons per cell: 0.0

a b c (Å): 8.506 8.506 8.506
angles (deg): 26.32 26.32 26.32
Positions (direct):
Bi: 0.000 0.000 0.000
Bi: 0.173 0.173 0.173
Se: 0.416 0.416 0.416
S: 0.591 0.591 0.591


No. 4
VASP calculation (GGA-PBE) on a relaxed BiSe2S2 crystal.

Summary:
Formation energy without anion corrections in eV per atom: 0.39
E_tot in eV/atom: -3.429
Energy above the most stable polymorph in this dataset in kJ/mol of atoms: 1.8
Total moment in Bohr magnetons per cell: 0.0

a b c (Å): 5.558 5.558 5.558
angles (deg): 121.80 121.80 86.91
Positions (direct):
Bi: 0.000 0.000 0.000
Se: 0.250 0.750 0.500
Se: 0.750 0.250 0.500
S: 0.382 0.382 0.000
S: 0.618 0.618 0.000


No. 5
VASP calculation (GGA-PBE) on a relaxed Bi3Se5S12 crystal.

Summary:
Formation energy without anion corrections in eV per atom: 0.27
E_tot in eV/atom: -3.660
Total moment in Bohr magnetons per cell: 0.0

a b c (Å): 13.765 13.765 13.765
angles (deg): 109.47 109.47 109.47
Positions (direct):
Bi: 0.125 0.250 0.375
Bi: 0.125 0.375 0.750
Bi: 0.250 0.375 0.125
Bi: 0.250 0.875 0.625
Bi: 0.375 0.125 0.250
Bi: 0.375 0.750 0.125
Bi: 0.625 0.250 0.875
Bi: 0.625 0.875 0.750
Bi: 0.750 0.125 0.375
Bi: 0.750 0.625 0.875
Bi: 0.875 0.625 0.250
Bi: 0.875 0.750 0.625
Se: 0.000 0.000 0.000
Se: 0.000 0.000 0.500
Se: 0.000 0.500 0.000
Se: 0.000 0.500 0.500
Se: 0.125 0.750 0.875
Se: 0.125 0.875 0.250
Se: 0.250 0.125 0.875
Se: 0.250 0.625 0.375
Se: 0.375 0.250 0.625
Se: 0.375 0.625 0.750
Se: 0.500 0.000 0.000
Se: 0.500 0.000 0.500
Se: 0.500 0.500 0.000
Se: 0.500 0.500 0.500
Se: 0.625 0.375 0.250
Se: 0.625 0.750 0.375
Se: 0.750 0.375 0.625
Se: 0.750 0.875 0.125
Se: 0.875 0.125 0.750
Se: 0.875 0.250 0.125
S: 0.040 0.212 0.130
S: 0.040 0.329 0.910
S: 0.081 0.712 0.671
S: 0.081 0.870 0.410
S: 0.090 0.630 0.419
S: 0.090 0.960 0.671
S: 0.130 0.040 0.212
S: 0.130 0.590 0.919
S: 0.171 0.212 0.581
S: 0.171 0.460 0.590
S: 0.212 0.130 0.040
S: 0.212 0.581 0.171
S: 0.288 0.329 0.919
S: 0.288 0.460 0.370
S: 0.329 0.910 0.040
S: 0.329 0.919 0.288
S: 0.370 0.288 0.460
S: 0.370 0.581 0.910
S: 0.410 0.081 0.870
S: 0.410 0.829 0.540
S: 0.419 0.090 0.630
S: 0.419 0.829 0.788
S: 0.460 0.370 0.288
S: 0.460 0.590 0.171
S: 0.540 0.410 0.829
S: 0.540 0.630 0.712
S: 0.581 0.171 0.212
S: 0.581 0.910 0.370
S: 0.590 0.171 0.460
S: 0.590 0.919 0.130
S: 0.630 0.419 0.090
S: 0.630 0.712 0.540
S: 0.671 0.081 0.712
S: 0.671 0.090 0.960
S: 0.712 0.540 0.630
S: 0.712 0.671 0.081
S: 0.788 0.419 0.829
S: 0.788 0.870 0.960
S: 0.829 0.540 0.410
S: 0.829 0.788 0.419
S: 0.870 0.410 0.081
S: 0.870 0.960 0.788
S: 0.910 0.040 0.329
S: 0.910 0.370 0.581
S: 0.919 0.130 0.590
S: 0.919 0.288 0.329
S: 0.960 0.671 0.090
S: 0.960 0.788 0.870


No. 6
VASP calculation (GGA-PBE) on a relaxed BiSeS3 crystal.

Summary:
Formation energy without anion corrections in eV per atom: 0.93
E_tot in eV/atom: -3.018
Energy above the most stable polymorph in this dataset in kJ/mol of atoms: 52.9
Total moment in Bohr magnetons per cell: 2.9

a b c (Å): 5.266 5.266 5.266
angles (deg): 90.00 90.00 90.00
Positions (direct):
Bi: 0.000 0.000 0.000
Se: 0.500 0.500 0.500
S: 0.000 0.000 0.500
S: 0.000 0.500 0.000
S: 0.500 0.000 0.000